Material: Pm4Sm3Zn4
Method: DFT, GGA-PBE
State: optimized geometry

abc: 5.1519 7.2529 9.2931
angles: 112.97 106.09 90.00
Sites, in units of the cell vectors:
Pm (0.3237, 0.0978, 0.6475)
Pm (0.6763, 0.4504, 0.3525)
Pm (0.6763, 0.9022, 0.3525)
Pm (0.3237, 0.5496, 0.6475)
Sm (0.1022, 0.1022, 0.2044)
Sm (0.8978, 0.8978, 0.7956)
Sm (0.0000, 0.5000, 0.0000)
Zn (0.1840, 0.6840, 0.3680)
Zn (0.8160, 0.3160, 0.6320)
Zn (0.5000, 0.8250, 0.0000)
Zn (0.5000, 0.1750, 0.0000)

Output
- Calculated total energy: -39.45 eV per cell
- Formation enthalpy at 0 K: -1.2 eV per formula unit
- Total moment: 0.00 μB/f.u.

***

Material: Pm2SmZn2
Method: DFT, GGA-PBE
State: optimized geometry

abc: 3.6994 5.2572 13.6860
angles: 90.00 97.80 90.00
Sites, in units of the cell vectors:
Pm (0.0462, 0.7500, 0.0918)
Pm (0.9538, 0.2500, 0.9082)
Pm (0.2316, 0.7500, 0.4642)
Pm (0.7684, 0.2500, 0.5358)
Sm (0.8568, 0.7500, 0.7160)
Sm (0.1432, 0.2500, 0.2840)
Zn (0.6398, 0.7500, 0.2786)
Zn (0.3602, 0.2500, 0.7214)
Zn (0.4503, 0.7500, 0.9014)
Zn (0.5497, 0.2500, 0.0986)

Output
- Calculated total energy: -35.98 eV per cell
- Formation enthalpy at 0 K: -1.2 eV per formula unit
- Total moment: 0.00 μB/f.u.

***

Material: PmSm4Zn4
Method: DFT, GGA-PBE
State: optimized geometry

abc: 5.1534 9.6901 9.6901
angles: 90.00 90.00 90.00
Sites, in units of the cell vectors:
Pm (0.0000, 0.0000, 0.0000)
Pm (0.5000, 0.5000, 0.5000)
Sm (0.4999, 0.3884, 0.8453)
Sm (0.9999, 0.6547, 0.8884)
Sm (0.4999, 0.6116, 0.1547)
Sm (0.0001, 0.1116, 0.6547)
Sm (0.5001, 0.8453, 0.6116)
Sm (0.0001, 0.8884, 0.3453)
Sm (0.9999, 0.3453, 0.1116)
Sm (0.5001, 0.1547, 0.3884)
Zn (0.5001, 0.9253, 0.1775)
Zn (0.5001, 0.0747, 0.8225)
Zn (0.0001, 0.6775, 0.5748)
Zn (0.9999, 0.4252, 0.6775)
Zn (0.9999, 0.5748, 0.3225)
Zn (0.4999, 0.1775, 0.0747)
Zn (0.4999, 0.8225, 0.9253)
Zn (0.0001, 0.3225, 0.4252)

Output
- Calculated total energy: -60.00 eV per cell
- Formation enthalpy at 0 K: -1.3 eV per formula unit
- Total moment: 0.00 μB/f.u.

***

Material: PmSm2Zn6
Method: DFT, GGA-PBE
State: optimized geometry

abc: 3.5909 7.8716 7.8709
angles: 120.00 89.98 90.00
Sites, in units of the cell vectors:
Pm (0.0000, 0.0000, 0.0000)
Sm (0.9998, 0.3334, 0.6668)
Sm (0.0002, 0.6666, 0.3332)
Zn (0.4999, 0.3338, 0.3339)
Zn (0.5001, 0.6662, 0.6661)
Zn (0.5001, 0.9999, 0.6661)
Zn (0.5000, 0.6661, 0.0000)
Zn (0.5000, 0.3339, 0.0000)
Zn (0.4999, 0.0001, 0.3339)

Output
- Calculated total energy: -25.08 eV per cell
- Formation enthalpy at 0 K: -3.2 eV per formula unit
- Total moment: 0.00 μB/f.u.

***

Material: Pm8Sm2Zn
Method: DFT, GGA-PBE
State: optimized geometry

abc: 5.6761 6.5466 10.0941
angles: 93.13 106.33 90.00
Sites, in units of the cell vectors:
Pm (0.4212, 0.3922, 0.8424)
Pm (0.6549, 0.1192, 0.3097)
Pm (0.8444, 0.1911, 0.6889)
Pm (0.9604, 0.7485, 0.9209)
Pm (0.1556, 0.8089, 0.3111)
Pm (0.3451, 0.8808, 0.6903)
Pm (0.5788, 0.6078, 0.1576)
Pm (0.0396, 0.2515, 0.0791)
Sm (0.7626, 0.6677, 0.5252)
Sm (0.2374, 0.3323, 0.4748)
Zn (0.5000, 0.0000, 0.0000)

Output
- Calculated total energy: -48.86 eV per cell
- Formation enthalpy at 0 K: -0.1 eV per formula unit
- Total moment: 0.00 μB/f.u.

***

Material: PmSmZn
Method: DFT, GGA-PBE
State: optimized geometry

abc: 3.7568 5.0331 5.0331
angles: 120.00 90.00 90.00
Sites, in units of the cell vectors:
Zn (0.3389, 0.3333, 0.6667)
Sm (0.6113, 0.6667, 0.3333)
Pm (0.0498, 0.0000, 0.0000)

Output
- Calculated total energy: -10.90 eV per cell
- Formation enthalpy at 0 K: -0.2 eV per formula unit
- Total moment: 0.00 μB/f.u.

***

Material: Pm5Sm4Zn
Method: DFT, GGA-PBE
State: optimized geometry

abc: 3.6524 3.6524 24.1879
angles: 90.00 90.00 90.00
Sites, in units of the cell vectors:
Pm (0.5000, 0.5000, 0.0749)
Pm (0.5000, 0.5000, 0.2876)
Pm (0.5000, 0.5000, 0.5000)
Pm (0.5000, 0.5000, 0.7124)
Pm (0.5000, 0.5000, 0.9251)
Sm (0.0000, 0.0000, 0.1827)
Sm (0.0000, 0.0000, 0.3943)
Sm (0.0000, 0.0000, 0.6057)
Sm (0.0000, 0.0000, 0.8173)
Zn (0.0000, 0.0000, 0.0000)

Output
- Calculated total energy: -44.44 eV per cell
- Formation enthalpy at 0 K: -0.5 eV per formula unit
- Total moment: 0.00 μB/f.u.

***

Material: PmSm2Zn3
Method: DFT, GGA-PBE
State: optimized geometry

abc: 3.6475 3.6475 10.9578
angles: 90.00 90.00 90.00
Sites, in units of the cell vectors:
Pm (0.5000, 0.5000, 0.5000)
Sm (0.5000, 0.5000, 0.8340)
Sm (0.5000, 0.5000, 0.1660)
Zn (0.0000, 0.0000, 0.0000)
Zn (0.0000, 0.0000, 0.6685)
Zn (0.0000, 0.0000, 0.3315)

Output
- Calculated total energy: -19.90 eV per cell
- Formation enthalpy at 0 K: -1.9 eV per formula unit
- Total moment: 0.00 μB/f.u.

***

> What is the formation enthalpy at 0 K in the second record?

-1.2 eV per formula unit

***

> Among the records above, which one has the highest calculated total energy?

PmSmZn

***

> The highest formation enthalpy at 0 K belongs to which entry?

Pm8Sm2Zn